No. 1
The following is a DFT calculation (PBE) of a relaxed AcPmTm3 crystal.

Lattice parameters (Å, degrees): 9.383 6.373 12.446 90.00 114.29 90.00
Space group P2_1/c (No. 14)
Unique sites:
Ac 0.155 0.174 0.102 [4 per cell]
Pm 0.261 0.665 0.001 [4 per cell]
Tm 0.052 0.666 0.205 [4 per cell]
Tm 0.355 0.163 0.902 [4 per cell]
Tm 0.446 0.672 0.799 [4 per cell]

Computed properties:
For the magnetic moment, the calculation gives 0.00 Bohr magnetons per cell. The uncorrected energy is -4.408 eV per atom. For the density of states at the Fermi level, the calculation gives 1.628 states/eV per atom.


No. 2
The following is a DFT calculation (PBE) of a relaxed LiFe2IrSe crystal.

Lattice parameters (Å, degrees): 4.143 4.143 4.287 90.00 90.00 90.00
Space group P4/mmm (No. 123)
Unique sites:
Li 0.000 0.000 0.000 [1 per cell]
Fe 0.000 0.500 0.000 [2 per cell]
Ir 0.000 0.000 0.500 [1 per cell]
Se 0.500 0.500 0.500 [1 per cell]

Computed properties:
For the magnetic moment, the calculation gives 6.59 Bohr magnetons per cell. The uncorrected energy is -5.249 eV per atom. For the density of states at the Fermi level, the calculation gives 0.957 states/eV per atom.


No. 3
The following is a DFT calculation (PBE) of a relaxed FeCu2Si crystal.

Lattice parameters (Å, degrees): 2.568 3.760 5.044 90.00 104.61 90.00
Space group Pm (No. 6)
Unique sites:
Fe 0.000 0.000 0.000 [1 per cell]
Cu 0.340 0.500 0.685 [1 per cell]
Cu 0.736 0.000 0.476 [1 per cell]
Si 0.586 0.500 0.172 [1 per cell]

Computed properties:
For the magnetic moment, the calculation gives 1.49 Bohr magnetons per cell. The uncorrected energy is -5.591 eV per atom. For the density of states at the Fermi level, the calculation gives 0.562 states/eV per atom.


No. 4
The following is a DFT calculation (PBE) of a relaxed Pm6Sm3DyHo2 crystal.

Lattice parameters (Å, degrees): 6.269 10.855 11.942 90.00 100.05 90.00
Space group C2/m (No. 12)
Unique sites:
Pm 0.249 0.000 0.247 [4 per cell]
Pm 0.250 0.167 0.753 [8 per cell]
Sm 0.000 0.000 0.500 [2 per cell]
Sm 0.000 0.333 0.500 [4 per cell]
Dy 0.000 0.500 0.000 [2 per cell]
Ho 0.000 0.167 0.000 [4 per cell]

Computed properties:
For the magnetic moment, the calculation gives 0.00 Bohr magnetons per cell. The uncorrected energy is -4.688 eV per atom. For the density of states at the Fermi level, the calculation gives 1.294 states/eV per atom.


No. 5
The following is a DFT calculation (PBE) of a relaxed CaReP2O crystal.

Lattice parameters (Å, degrees): 5.149 5.149 3.996 90.00 90.00 90.00
Space group P4/mmm (No. 123)
Unique sites:
Ca 0.000 0.000 0.000 [1 per cell]
Re 0.500 0.500 0.500 [1 per cell]
P 0.000 0.500 0.000 [2 per cell]
O 0.000 0.000 0.500 [1 per cell]

Computed properties:
For the magnetic moment, the calculation gives 2.13 Bohr magnetons per cell. The calculation puts the offset from the most stable computed form at 1946 meV per atom. The uncorrected energy is -4.736 eV per atom. For the density of states at the Fermi level, the calculation gives 0.844 states/eV per atom.


No. 6
The following is a DFT calculation (PBE) of a relaxed CrAu crystal.

Lattice parameters (Å, degrees): 5.236 5.236 5.305 90.00 90.00 90.00
Space group P4_2/mnm (No. 136)
Unique sites:
Cr 0.134 0.134 0.000 [4 per cell]
Au 0.177 0.177 0.500 [4 per cell]

Computed properties:
For the magnetic moment, the calculation gives 4.87 Bohr magnetons per cell. The uncorrected energy is -5.662 eV per atom. For the density of states at the Fermi level, the calculation gives 1.446 states/eV per atom.


No. 7
The following is a DFT calculation (PBE) of a relaxed LaHoRu2 crystal.

Lattice parameters (Å, degrees): 6.936 6.936 6.936 90.00 90.00 90.00
Space group Fm-3m (No. 225)
Unique sites:
La 0.000 0.000 0.000 [4 per cell]
Ho 0.000 0.000 0.500 [4 per cell]
Ru 0.250 0.250 0.250 [8 per cell]

Computed properties:
For the magnetic moment, the calculation gives 0.00 Bohr magnetons per cell. The uncorrected energy is -7.216 eV per atom. For the density of states at the Fermi level, the calculation gives 0.842 states/eV per atom.


No. 8
The following is a DFT calculation (PBE) of a relaxed NaPm4NdS8 crystal.

Lattice parameters (Å, degrees): 8.3222 8.3222 20.4555 90.00 90.00 120.00
Space group R3m (No. 160, hexagonal axes)
Unique sites:
Na 0.0000 0.0000 0.0000 [3 per cell]
Pm 0.0000 0.0000 0.7494 [3 per cell]
Pm 0.0108 0.5054 0.8760 [9 per cell]
Nd 0.0000 0.0000 0.3707 [3 per cell]
S 0.0000 0.0000 0.1356 [3 per cell]
S 0.0000 0.0000 0.6166 [3 per cell]
S 0.0204 0.5102 0.1278 [9 per cell]
S 0.1806 0.3612 0.9537 [9 per cell]

Computed properties:
For the magnetic moment, the calculation gives 0.00 Bohr magnetons per cell. The uncorrected energy is -6.071 eV per atom. For the density of states at the Fermi level, the calculation gives 0.000 states/eV per atom.